Here is a relaxed AgOsSe2N crystal from the Alexandria database. Energies are from PBE-GGA.

```
data_AgOsSe2N
_chemical_formula_sum 'Ag1 Os1 Se2 N1'
_symmetry_space_group_name_H-M 'P 4/m m m'
_symmetry_Int_Tables_number 123
_symmetry_space_group_name_Hall '-P 4 2'
_cell_length_a 5.0652
_cell_length_b 5.0652
_cell_length_c 3.8049
_cell_angle_alpha 90.00
_cell_angle_beta 90.00
_cell_angle_gamma 90.00
loop_
_atom_site_label
_atom_site_fract_x
_atom_site_fract_y
_atom_site_fract_z
Ag1 0.0000 0.0000 0.0000
Os1 0.5000 0.5000 0.5000
Se1 0.0000 0.5000 0.0000
N1 0.0000 0.0000 0.5000
```

Results
crystal system = tetragonal
Fermi-level density of states = 1.186 states/eV per atom
raw formation energy = 2.000 eV per atom
polymorph energy (0 for the lowest one) = 1.5415 eV/atom

---

Here is a relaxed AgOsSeN2 crystal from the Alexandria database. Energies are from PBE-GGA.

```
data_AgOsSeN2
_chemical_formula_sum 'Ag1 Os1 Se1 N2'
_symmetry_space_group_name_H-M 'P 4/m m m'
_symmetry_Int_Tables_number 123
_symmetry_space_group_name_Hall '-P 4 2'
_cell_length_a 3.7973
_cell_length_b 3.7973
_cell_length_c 5.5782
_cell_angle_alpha 90.00
_cell_angle_beta 90.00
_cell_angle_gamma 90.00
loop_
_atom_site_label
_atom_site_fract_x
_atom_site_fract_y
_atom_site_fract_z
Ag1 0.0000 0.0000 0.0000
Os1 0.5000 0.5000 0.5000
Se1 0.5000 0.5000 0.0000
N1 0.0000 0.5000 0.5000
```

Results
crystal system = tetragonal
Fermi-level density of states = 0.459 states/eV per atom
raw formation energy = 0.583 eV per atom
polymorph energy (0 for the lowest one) = 0.0000 eV/atom

---

Here is a relaxed Si2AgOsN crystal from the Alexandria database. Energies are from PBE-GGA.

```
data_Si2AgOsN
_chemical_formula_sum 'Si2 Ag1 Os1 N1'
_symmetry_space_group_name_H-M 'P 4/m m m'
_symmetry_Int_Tables_number 123
_symmetry_space_group_name_Hall '-P 4 2'
_cell_length_a 4.5325
_cell_length_b 4.5325
_cell_length_c 5.4315
_cell_angle_alpha 90.00
_cell_angle_beta 90.00
_cell_angle_gamma 90.00
loop_
_atom_site_label
_atom_site_fract_x
_atom_site_fract_y
_atom_site_fract_z
Si1 0.0000 0.5000 0.0000
Ag1 0.0000 0.0000 0.5000
Os1 0.0000 0.0000 0.0000
N1 0.5000 0.5000 0.5000
```

Results
crystal system = tetragonal
Fermi-level density of states = 0.353 states/eV per atom
raw formation energy = 1.424 eV per atom

---

Here is a relaxed AgTeOsN2 crystal from the Alexandria database. Energies are from PBE-GGA.

```
data_AgTeOsN2
_chemical_formula_sum 'Ag1 Te1 Os1 N2'
_symmetry_space_group_name_H-M 'P 4/m m m'
_symmetry_Int_Tables_number 123
_symmetry_space_group_name_Hall '-P 4 2'
_cell_length_a 3.8797
_cell_length_b 3.8797
_cell_length_c 6.4490
_cell_angle_alpha 90.00
_cell_angle_beta 90.00
_cell_angle_gamma 90.00
loop_
_atom_site_label
_atom_site_fract_x
_atom_site_fract_y
_atom_site_fract_z
Ag1 0.0000 0.0000 0.0000
Te1 0.0000 0.0000 0.5000
Os1 0.5000 0.5000 0.5000
N1 0.0000 0.5000 0.0000
```

Results
crystal system = tetragonal
Fermi-level density of states = 1.372 states/eV per atom
raw formation energy = 2.552 eV per atom
polymorph energy (0 for the lowest one) = 1.9321 eV/atom

---

Here is a relaxed AgTeOsN2 crystal from the Alexandria database. Energies are from PBE-GGA.

```
data_AgTeOsN2
_chemical_formula_sum 'Ag1 Te1 Os1 N2'
_symmetry_space_group_name_H-M 'P 4/m m m'
_symmetry_Int_Tables_number 123
_symmetry_space_group_name_Hall '-P 4 2'
_cell_length_a 3.8527
_cell_length_b 3.8527
_cell_length_c 5.8620
_cell_angle_alpha 90.00
_cell_angle_beta 90.00
_cell_angle_gamma 90.00
loop_
_atom_site_label
_atom_site_fract_x
_atom_site_fract_y
_atom_site_fract_z
Ag1 0.0000 0.0000 0.0000
Te1 0.5000 0.5000 0.0000
Os1 0.5000 0.5000 0.5000
N1 0.0000 0.5000 0.5000
```

Results
crystal system = tetragonal
Fermi-level density of states = 0.373 states/eV per atom
raw formation energy = 0.620 eV per atom
polymorph energy (0 for the lowest one) = 0.0000 eV/atom

---

Here is a relaxed AgTeOs2N crystal from the Alexandria database. Energies are from PBE-GGA.

```
data_AgTeOs2N
_chemical_formula_sum 'Ag1 Te1 Os2 N1'
_symmetry_space_group_name_H-M 'P 4/m m m'
_symmetry_Int_Tables_number 123
_symmetry_space_group_name_Hall '-P 4 2'
_cell_length_a 4.8700
_cell_length_b 4.8700
_cell_length_c 5.1889
_cell_angle_alpha 90.00
_cell_angle_beta 90.00
_cell_angle_gamma 90.00
loop_
_atom_site_label
_atom_site_fract_x
_atom_site_fract_y
_atom_site_fract_z
Ag1 0.0000 0.0000 0.0000
Te1 0.0000 0.0000 0.5000
Os1 0.0000 0.5000 0.5000
N1 0.5000 0.5000 0.0000
```

Results
crystal system = tetragonal
Fermi-level density of states = 1.011 states/eV per atom
raw formation energy = 3.100 eV per atom

---

Here is a relaxed TlAg2OsN crystal from the Alexandria database. Energies are from PBE-GGA.

```
data_TlAg2OsN
_chemical_formula_sum 'Tl1 Ag2 Os1 N1'
_symmetry_space_group_name_H-M 'P 4/m m m'
_symmetry_Int_Tables_number 123
_symmetry_space_group_name_Hall '-P 4 2'
_cell_length_a 5.2254
_cell_length_b 5.2254
_cell_length_c 5.2120
_cell_angle_alpha 90.00
_cell_angle_beta 90.00
_cell_angle_gamma 90.00
loop_
_atom_site_label
_atom_site_fract_x
_atom_site_fract_y
_atom_site_fract_z
Tl1 0.0000 0.0000 0.0000
Ag1 0.0000 0.5000 0.0000
Os1 0.0000 0.0000 0.5000
N1 0.5000 0.5000 0.5000
```

Results
crystal system = tetragonal
Fermi-level density of states = 1.340 states/eV per atom
raw formation energy = 2.745 eV per atom

---

Here is a relaxed TlAgOsN2 crystal from the Alexandria database. Energies are from PBE-GGA.

```
data_TlAgOsN2
_chemical_formula_sum 'Tl1 Ag1 Os1 N2'
_symmetry_space_group_name_H-M 'P 4/m m m'
_symmetry_Int_Tables_number 123
_symmetry_space_group_name_Hall '-P 4 2'
_cell_length_a 3.8241
_cell_length_b 3.8241
_cell_length_c 6.3348
_cell_angle_alpha 90.00
_cell_angle_beta 90.00
_cell_angle_gamma 90.00
loop_
_atom_site_label
_atom_site_fract_x
_atom_site_fract_y
_atom_site_fract_z
Tl1 0.0000 0.0000 0.0000
Ag1 0.5000 0.5000 0.0000
Os1 0.0000 0.0000 0.5000
N1 0.0000 0.5000 0.5000
```

Results
crystal system = tetragonal
Fermi-level density of states = 0.483 states/eV per atom
raw formation energy = 0.767 eV per atom

---

Here is a relaxed AgPN3 crystal from the Alexandria database. Energies are from PBE-GGA.

```
data_AgPN3
_chemical_formula_sum 'Ag1 P1 N3'
_symmetry_space_group_name_H-M 'P m -3 m'
_symmetry_Int_Tables_number 221
_symmetry_space_group_name_Hall '-P 4 2 3'
_cell_length_a 3.5664
_cell_length_b 3.5664
_cell_length_c 3.5664
_cell_angle_alpha 90.00
_cell_angle_beta 90.00
_cell_angle_gamma 90.00
loop_
_atom_site_label
_atom_site_fract_x
_atom_site_fract_y
_atom_site_fract_z
Ag1 0.0000 0.0000 0.0000
P1 0.5000 0.5000 0.5000
N1 0.0000 0.5000 0.5000
```

Results
crystal system = cubic
Fermi-level density of states = 0.859 states/eV per atom
raw formation energy = 1.309 eV per atom

---

Here is a relaxed AgP2N crystal from the Alexandria database. Energies are from PBE-GGA.

```
data_AgP2N
_chemical_formula_sum 'Ag4 P8 N4'
_symmetry_space_group_name_H-M 'I -4 2 d'
_symmetry_Int_Tables_number 122
_symmetry_space_group_name_Hall 'I -4 2bw'
_cell_length_a 5.4737
_cell_length_b 5.4737
_cell_length_c 8.3466
_cell_angle_alpha 90.00
_cell_angle_beta 90.00
_cell_angle_gamma 90.00
loop_
_atom_site_label
_atom_site_fract_x
_atom_site_fract_y
_atom_site_fract_z
Ag1 0.0000 0.0000 0.0000
P1 0.1650 0.2500 0.6250
N1 0.0000 0.0000 0.5000
```

Results
crystal system = tetragonal
Fermi-level density of states = 0.056 states/eV per atom
raw formation energy = 0.663 eV per atom

---

Here is a relaxed AgPN3 crystal from the Alexandria database. Energies are from PBE-GGA.

```
data_AgPN3
_chemical_formula_sum 'Ag1 P1 N3'
_symmetry_space_group_name_H-M 'P m -3 m'
_symmetry_Int_Tables_number 221
_symmetry_space_group_name_Hall '-P 4 2 3'
_cell_length_a 3.9982
_cell_length_b 3.9982
_cell_length_c 3.9982
_cell_angle_alpha 90.00
_cell_angle_beta 90.00
_cell_angle_gamma 90.00
loop_
_atom_site_label
_atom_site_fract_x
_atom_site_fract_y
_atom_site_fract_z
Ag1 0.0000 0.0000 0.0000
P1 0.5000 0.5000 0.5000
N1 0.0000 0.0000 0.5000
```

Results
crystal system = cubic
Fermi-level density of states = 1.001 states/eV per atom
raw formation energy = 2.862 eV per atom

---

Here is a relaxed AgPN crystal from the Alexandria database. Energies are from PBE-GGA.

```
data_AgPN
_chemical_formula_sum 'Ag4 P4 N4'
_symmetry_space_group_name_H-M 'C 1 2/m 1'
_symmetry_Int_Tables_number 12
_symmetry_space_group_name_Hall '-C 2y'
_cell_length_a 17.8006
_cell_length_b 2.8831
_cell_length_c 3.7022
_cell_angle_alpha 90.00
_cell_angle_beta 90.16
_cell_angle_gamma 90.00
loop_
_atom_site_label
_atom_site_fract_x
_atom_site_fract_y
_atom_site_fract_z
Ag1 0.0570 0.0000 0.2398
P1 0.1871 0.0000 0.4736
N1 0.2170 0.5000 0.6980
```

Results
crystal system = monoclinic
Fermi-level density of states = 0.125 states/eV per atom
raw formation energy = 0.288 eV per atom

---

Here is a relaxed PaAgPN crystal from the Alexandria database. Energies are from PBE-GGA.

```
data_PaAgPN
_chemical_formula_sum 'Pa6 Ag6 P6 N6'
_symmetry_space_group_name_H-M 'R -3 m'
_symmetry_Int_Tables_number 166
_symmetry_space_group_name_Hall '-R 3 2"'
_cell_length_a 3.9799
_cell_length_b 3.9799
_cell_length_c 30.4993
_cell_angle_alpha 90.00
_cell_angle_beta 90.00
_cell_angle_gamma 120.00
loop_
_atom_site_label
_atom_site_fract_x
_atom_site_fract_y
_atom_site_fract_z
Pa1 0.0000 0.0000 0.1192
Ag1 0.0000 0.0000 0.3044
P1 0.0000 0.0000 0.3970
N1 0.0000 0.0000 0.1928
```

Results
crystal system = trigonal
raw formation energy = -1.028 eV per atom

---

Here is a relaxed Pm2AgP2N6 crystal from the Alexandria database. Energies are from PBE-GGA.

```
data_Pm2AgP2N6
_chemical_formula_sum 'Pm2 Ag1 P2 N6'
_symmetry_space_group_name_H-M 'P -1'
_symmetry_Int_Tables_number 2
_symmetry_space_group_name_Hall '-P 1'
_cell_length_a 5.1765
_cell_length_b 6.0151
_cell_length_c 6.2533
_cell_angle_alpha 62.48
_cell_angle_beta 89.04
_cell_angle_gamma 67.76
loop_
_atom_site_label
_atom_site_fract_x
_atom_site_fract_y
_atom_site_fract_z
Pm1 0.2114 0.1142 0.2040
Ag1 0.0000 0.5000 0.5000
P1 0.4960 0.5314 0.7515
N1 0.1714 0.5669 0.1611
N2 0.2932 0.8441 0.6518
N3 0.4045 0.2986 0.7742
```

Results
crystal system = triclinic
Fermi-level density of states = 0.304 states/eV per atom
raw formation energy = -0.551 eV per atom